1.
Entry from Alexandria: a relaxed Ac2SbRh2 crystal (PBE).

Values from the calculation:
- Final energy: -123.6 eV/cell

Geometry as extended XYZ:
```
20
Lattice="-4.286 0.232 6.422 5.531 -3.799 3.828 3.613 7.420 2.143" Properties=species:S:1:pos:R:3 pbc="T T T"
Rh 2.391 0.480 2.787
Ac 0.065 2.672 7.601
Rh 0.729 5.217 6.152
Ac 3.463 0.737 8.569
Rh 4.197 4.190 3.859
Ac 1.657 -2.972 7.495
Ac 1.394 3.116 3.824
Ac -0.412 -0.595 2.755
Rh -1.078 1.507 5.081
Sb 3.331 3.780 6.732
Ac 4.792 1.181 4.792
Rh 5.935 2.346 7.312
Ac -1.739 -1.039 6.529
Rh 2.467 3.373 9.606
Sb 0.903 1.854 0.535
Sb 1.526 0.073 5.661
Rh 0.660 -0.337 8.534
Rh 4.129 -1.364 6.241
Sb 2.710 5.566 1.608
Ac 2.984 -2.528 3.721
```

=====

2.
Entry from Alexandria: a relaxed V3GePt crystal (PBE).

Values from the calculation:
- Energy of formation: -0.1176 eV/atom

Geometry as extended XYZ:
```
10
Lattice="-4.520 -1.651 -1.848 -2.208 -3.579 2.966 -5.834 4.475 1.244" Properties=species:S:1:pos:R:3 pbc="T T T"
V -2.899 -1.216 -0.337
Ge -6.585 1.794 1.010
Pt -7.702 -1.744 0.126
V -5.136 -1.856 -1.150
V -6.229 -3.858 0.293
V -5.654 -0.636 1.216
Ge -6.612 -0.162 3.592
V -6.776 0.302 -1.121
Pt -4.181 -2.749 1.383
V -4.539 0.942 -0.307
```

=====

3.
Entry from Alexandria: a relaxed Na2TcO2F4 crystal (PBE).

Values from the calculation:
- Final energy: -49.1 eV/cell

Geometry as extended XYZ:
```
9
Lattice="4.560 0.052 0.035 1.093 5.598 0.390 1.093 2.418 5.064" Properties=species:S:1:pos:R:3 pbc="T T T"
O 5.502 6.850 4.661
F 2.308 2.621 3.423
Na 2.021 5.093 3.465
Na 4.726 2.975 2.024
F 4.439 5.447 2.066
F 2.308 4.146 1.181
F 4.439 3.921 4.308
O 1.245 1.217 0.828
Tc 2.280 0.026 0.018
```

=====

4.
Entry from Alexandria: a relaxed SrTl2Sb crystal (PBE).

Values from the calculation:
- Final energy: -11.5 eV/cell

Geometry as extended XYZ:
```
4
Lattice="-3.539 1.657 -1.470 0.980 -1.311 -3.840 -3.430 -6.220 1.248" Properties=species:S:1:pos:R:3 pbc="T T T"
Tl -0.102 -0.185 0.037
Tl -1.613 -2.925 0.587
Sb -2.137 -1.382 -2.343
Sr -3.852 -4.492 -1.719
```

=====

5.
Entry from Alexandria: a relaxed TbBiIrO6 crystal (PBE).

Values from the calculation:
- Final energy: -122.2 eV/cell

Geometry as extended XYZ:
```
18
Lattice="-3.598 0.159 4.256 3.595 -4.237 -0.454 6.347 4.830 5.186" Properties=species:S:1:pos:R:3 pbc="T T T"
Bi 3.173 2.415 2.593
O 5.227 1.471 3.286
Ir 5.958 0.850 5.005
O 2.180 0.407 3.351
O 6.261 -0.953 4.278
O 7.742 1.378 4.365
O 1.117 -0.719 5.701
O -1.398 -0.627 4.623
O -0.362 0.532 2.275
O 6.706 0.219 6.712
Ir 0.386 -0.099 3.982
Tb 3.560 2.316 6.575
O 0.699 -1.893 3.235
O 4.164 0.344 5.637
O 5.645 2.644 5.752
Tb 2.784 -1.564 2.412
O 0.083 1.704 4.710
Bi 0.000 0.000 0.000
```

=====

6.
Entry from Alexandria: a relaxed BeRuPt2 crystal (PBE).

Values from the calculation:
- Energy of formation: -0.1646 eV/atom

Geometry as extended XYZ:
```
4
Lattice="-4.283 1.627 0.413 1.459 -1.262 4.177 0.999 2.525 0.414" Properties=species:S:1:pos:R:3 pbc="T T T"
Pt -1.412 0.183 2.295
Pt 0.000 0.000 0.000
Be 1.229 0.632 2.295
Ru -1.642 2.076 0.413
```

=====

7.
Entry from Alexandria: a relaxed AcTbBi crystal (PBE).

Values from the calculation:
- Energy of formation: -0.4654 eV/atom

Geometry as extended XYZ:
```
3
Lattice="4.184 0.000 0.000 0.000 4.184 0.000 -2.092 -2.092 6.030" Properties=species:S:1:pos:R:3 pbc="T T T"
Bi 2.092 2.092 1.137
Tb 2.092 2.092 5.772
Ac 0.000 0.000 3.342
```

=====

8.
Entry from Alexandria: a relaxed Hg2As2F7 crystal (PBE).

Values from the calculation:
- Final energy: -40.8 eV/cell

Geometry as extended XYZ:
```
11
Lattice="-3.041 5.842 5.750 -0.364 -6.359 -0.378 4.850 -0.905 3.485" Properties=species:S:1:pos:R:3 pbc="T T T"
F 2.161 -2.384 5.635
F -0.716 0.961 3.221
As -1.944 1.028 4.574
Hg -0.493 -1.906 6.193
Hg 1.938 0.484 2.664
F 1.605 0.553 6.934
F -0.161 -1.975 1.922
F 0.000 0.000 0.000
F -1.663 2.781 5.012
As 3.389 -2.450 4.282
F 3.108 -4.203 3.845
```

=====

9.
Entry from Alexandria: a relaxed SbPdNO2 crystal (PBE).

Values from the calculation:
- Final energy: -25.6 eV/cell

Geometry as extended XYZ:
```
5
Lattice="-3.396 2.007 0.821 -1.551 -1.183 -3.526 -1.478 -3.207 1.727" Properties=species:S:1:pos:R:3 pbc="T T T"
O -0.776 -0.592 -1.763
Sb -3.213 -1.192 -0.489
N -0.739 -1.604 0.863
Pd 0.000 0.000 0.000
O -1.698 1.003 0.411
```

=====

10.
Entry from Alexandria: a relaxed Fe4TcAs crystal (PBE).

Values from the calculation:
- Energy of formation: 0.2759 eV/atom

Geometry as extended XYZ:
```
6
Lattice="0.000 3.365 3.365 3.365 0.000 3.365 3.365 3.365 0.000" Properties=species:S:1:pos:R:3 pbc="T T T"
Fe 4.201 2.529 4.201
Fe 4.201 4.201 2.529
Fe 2.529 2.529 2.529
Tc 5.048 5.048 5.048
Fe 2.529 4.201 4.201
As 0.000 0.000 0.000
```

=====

11.
Entry from Alexandria: a relaxed MgTcPt2 crystal (PBE).

Values from the calculation:
- Energy of formation: -0.0885 eV/atom

Geometry as extended XYZ:
```
4
Lattice="4.449 0.000 0.000 2.225 3.853 0.000 2.225 1.284 3.633" Properties=species:S:1:pos:R:3 pbc="T T T"
Pt 0.000 0.000 0.000
Mg 4.449 2.569 1.816
Tc 2.225 1.284 0.908
Pt 6.674 3.853 2.725
```

=====

12.
Entry from Alexandria: a relaxed FeCuRe crystal (PBE).

Values from the calculation:
- Energy of formation: 0.2189 eV/atom

Geometry as extended XYZ:
```
3
Lattice="-2.178 2.879 2.089 -1.985 -2.824 -2.341 -0.142 -1.557 1.999" Properties=species:S:1:pos:R:3 pbc="T T T"
Fe -2.092 -1.393 -0.261
Re -2.202 0.007 1.858
Cu -0.011 -0.117 0.150
```

=====

13.
Entry from Alexandria: a relaxed CdB6N6 crystal (PBE).

Values from the calculation:
- Final energy: -94.1 eV/cell

Geometry as extended XYZ:
```
13
Lattice="4.636 0.000 0.000 0.000 4.636 0.000 0.000 0.000 4.636" Properties=species:S:1:pos:R:3 pbc="T T T"
B 0.000 2.318 1.160
N 2.318 0.000 3.502
B 3.477 0.000 2.318
N 0.000 1.134 2.318
B 1.160 0.000 2.318
N 2.318 0.000 1.134
Cd 2.318 2.318 2.318
N 0.000 3.502 2.318
B 0.000 2.318 3.477
B 2.318 1.160 0.000
B 2.318 3.477 0.000
N 1.134 2.318 0.000
N 3.502 2.318 0.000
```

=====

| no. | total magnetization (μB/atom) |
| --- | --- |
| 1 | 0.00 |
| 2 | 0.00 |
| 3 | 0.11 |
| 4 | 0.00 |
| 5 | 0.16 |
| 6 | 0.00 |
| 7 | 0.31 |
| 8 | 0.00 |
| 9 | 0.00 |
| 10 | 1.50 |
| 11 | 0.26 |
| 12 | 0.49 |
| 13 | 0.00 |